1.
# Te2MoW2Se2S2

A crystal of Te2MoW2Se2S2 relaxed with PBEsol (meta-GGA SCAN, the Alexandria database).

Final energy = -312.59 eV per cell
Calculated volume = 194.8 Å³ per cell

```
data_Te2MoW2Se2S2
_chemical_formula_sum 'Te2 Mo1 W2 Se2 S2'
_cell_length_a 3.2913
_cell_length_b 3.2913
_cell_length_c 20.7640
_cell_angle_alpha 90.00
_cell_angle_beta 90.00
_cell_angle_gamma 120.00
_symmetry_space_group_name_H-M 'P 3 m 1'
_symmetry_Int_Tables_number 156
loop_
_symmetry_equiv_pos_as_xyz
'x,y,z'
'-y,x-y,z'
'-x+y,-x,z'
'-y,-x,z'
'-x+y,y,z'
'x,x-y,z'
loop_
_atom_site_label
_atom_site_type_symbol
_atom_site_fract_x
_atom_site_fract_y
_atom_site_fract_z
Te1 Te 0.0000 0.0000 0.0000
Te2 Te 0.0000 0.0000 0.1819
Mo1 Mo 0.3333 0.6667 0.0910
W1 W 0.0000 0.0000 0.7703
W2 W 0.3333 0.6667 0.4640
Se1 Se 0.0000 0.0000 0.3837
Se2 Se 0.0000 0.0000 0.5445
S1 S 0.3333 0.6667 0.6972
S2 S 0.3333 0.6667 0.8434
```

---

2.
# TlTcCl2

A crystal of TlTcCl2 relaxed with PBEsol (meta-GGA SCAN, the Alexandria database).

Polymorph energy (0 for the lowest one) = 170 meV per atom
Calculated volume = 161.9 Å³ per cell

```
data_TlTcCl2
_chemical_formula_sum 'Tl2 Tc2 Cl4'
_cell_length_a 3.024
_cell_length_b 5.745
_cell_length_c 9.318
_cell_angle_alpha 90.00
_cell_angle_beta 90.00
_cell_angle_gamma 90.00
_symmetry_space_group_name_H-M 'C m m m'
_symmetry_Int_Tables_number 65
_symmetry_space_group_name_Hall '-C 2 2'
loop_
_atom_site_label
_atom_site_type_symbol
_atom_site_fract_x
_atom_site_fract_y
_atom_site_fract_z
Tl1 Tl 0.000 0.000 0.000
Tc1 Tc 0.000 0.000 0.500
Cl1 Cl 0.000 0.500 0.304
```

---

3.
# Ir2RhSe

A crystal of Ir2RhSe relaxed with PBEsol (meta-GGA SCAN, the Alexandria database).

Final energy = -389.50 eV per cell
Calculated volume = 117.3 Å³ per cell

```
data_Ir2RhSe
_chemical_formula_sum 'Ir4 Rh2 Se2'
_cell_length_a 3.879
_cell_length_b 2.813
_cell_length_c 10.752
_cell_angle_alpha 90.00
_cell_angle_beta 90.00
_cell_angle_gamma 90.00
_symmetry_space_group_name_H-M 'A m m 2'
_symmetry_Int_Tables_number 38
loop_
_symmetry_equiv_pos_as_xyz
'x,y,z'
'-x,-y,z'
'-x,y,z'
'x,-y,z'
'x,y+1/2,z+1/2'
'-x,-y+1/2,z+1/2'
'-x,y+1/2,z+1/2'
'x,-y+1/2,z+1/2'
loop_
_atom_site_label
_atom_site_type_symbol
_atom_site_fract_x
_atom_site_fract_y
_atom_site_fract_z
Ir1 Ir 0.000 0.000 0.000
Ir2 Ir 0.500 0.000 0.388
Rh1 Rh 0.000 0.000 0.749
Se1 Se 0.500 0.000 0.154
```

---

4.
# Ba5Ga6O14

A crystal of Ba5Ga6O14 relaxed with PBEsol (meta-GGA SCAN, the Alexandria database).

Final energy = -1779.10 eV per cell
Calculated volume = 1618.4 Å³ per cell

```
data_Ba5Ga6O14
_chemical_formula_sum 'Ba20 Ga24 O56'
_cell_length_a 12.099
_cell_length_b 11.713
_cell_length_c 11.420
_cell_angle_alpha 90.00
_cell_angle_beta 90.00
_cell_angle_gamma 90.00
_symmetry_space_group_name_H-M 'C m c 21'
_symmetry_Int_Tables_number 36
loop_
_symmetry_equiv_pos_as_xyz
'x,y,z'
'-x,-y,z+1/2'
'-x,y,z'
'x,-y,z+1/2'
'x+1/2,y+1/2,z'
'-x+1/2,-y+1/2,z+1/2'
'-x+1/2,y+1/2,z'
'x+1/2,-y+1/2,z+1/2'
loop_
_atom_site_label
_atom_site_type_symbol
_atom_site_fract_x
_atom_site_fract_y
_atom_site_fract_z
Ba1 Ba 0.000 0.011 0.000
Ba2 Ba 0.143 0.335 0.958
Ba3 Ba 0.154 0.365 0.530
Ga1 Ga 0.000 0.198 0.720
Ga2 Ga 0.000 0.491 0.242
Ga3 Ga 0.136 0.154 0.263
Ga4 Ga 0.241 0.096 0.742
O1 O 0.000 0.160 0.335
O2 O 0.000 0.193 0.877
O3 O 0.000 0.355 0.687
O4 O 0.000 0.494 0.401
O5 O 0.127 0.144 0.641
O6 O 0.128 0.443 0.162
O7 O 0.149 0.151 0.105
O8 O 0.206 0.026 0.339
O9 O 0.217 0.276 0.329
```

---

5.
# YRhI2O

A crystal of YRhI2O relaxed with PBEsol (meta-GGA SCAN, the Alexandria database).

Final energy = -139.24 eV per cell
Calculated volume = 169.8 Å³ per cell

```
data_YRhI2O
_chemical_formula_sum 'Y1 Rh1 I2 O1'
_cell_length_a 5.851
_cell_length_b 5.851
_cell_length_c 4.960
_cell_angle_alpha 90.00
_cell_angle_beta 90.00
_cell_angle_gamma 90.00
_symmetry_space_group_name_H-M 'P 4/m m m'
_symmetry_Int_Tables_number 123
_symmetry_space_group_name_Hall '-P 4 2'
loop_
_atom_site_label
_atom_site_type_symbol
_atom_site_fract_x
_atom_site_fract_y
_atom_site_fract_z
Y1 Y 0.000 0.000 0.000
Rh1 Rh 0.000 0.000 0.500
I1 I 0.000 0.500 0.000
O1 O 0.500 0.500 0.500
```

---

6.
# KIr2Pb

A crystal of KIr2Pb relaxed with PBEsol (meta-GGA SCAN, the Alexandria database).

DFT formation energy = 983 meV/atom
Calculated volume = 304.3 Å³ per cell

```
data_KIr2Pb
_chemical_formula_sum 'K4 Ir8 Pb4'
_cell_length_a 6.726
_cell_length_b 6.726
_cell_length_c 6.726
_cell_angle_alpha 90.00
_cell_angle_beta 90.00
_cell_angle_gamma 90.00
_symmetry_space_group_name_H-M 'F -4 3 m'
_symmetry_Int_Tables_number 216
_symmetry_space_group_name_Hall 'F -4 2 3'
loop_
_atom_site_label
_atom_site_type_symbol
_atom_site_fract_x
_atom_site_fract_y
_atom_site_fract_z
K1 K 0.000 0.000 0.000
Ir1 Ir 0.000 0.000 0.500
Ir2 Ir 0.250 0.250 0.750
Pb1 Pb 0.250 0.250 0.250
```